Below is a geometry-optimized ErAg2HgF6 structure, with properties calculated at the GGA-PBE level.

```
10
Lattice="5.701 0.000 0.000 -0.654 5.684 0.000 -1.740 -2.551 5.412" Properties=species:S:1:pos:R:3 pbc="T T T"
Er 0.000 0.000 0.000
Ag 0.913 2.664 2.399
Ag 2.945 0.485 2.379
Hg 0.802 0.564 4.165
F -1.568 1.487 4.256
F 0.285 4.763 1.716
F 1.735 1.363 0.008
F 3.210 4.730 0.576
F 2.419 3.912 3.600
F 4.915 1.562 1.318
```

## Properties
Formation energy from raw total energies ... -21.99 eV per formula unit

---

Below is a geometry-optimized Na3LiCe2O6 structure, with properties calculated at the GGA-PBE level.

```
12
Lattice="2.981 -5.161 0.000 2.981 5.161 0.000 -1.975 0.000 5.517" Properties=species:S:1:pos:R:3 pbc="T T T"
Na 0.000 0.000 0.000
Na 2.981 1.600 0.000
Na 2.981 -1.600 0.000
Li 1.994 0.000 2.758
Ce 1.994 3.436 2.758
Ce 1.994 -3.436 2.758
O 0.936 1.819 1.574
O -0.104 0.000 3.957
O 0.936 -1.819 1.574
O 3.052 1.819 3.943
O 4.092 0.000 1.560
O 3.052 -1.819 3.943
```

## Properties
Formation energy from raw total energies ... -29.95 eV per formula unit

---

Below is a geometry-optimized Ba2Al structure, with properties calculated at the GGA-PBE level.

```
6
Lattice="0.000 5.061 5.061 5.061 0.000 5.061 5.061 5.061 0.000" Properties=species:S:1:pos:R:3 pbc="T T T"
Ba 0.000 0.000 0.000
Ba 2.531 2.531 0.000
Ba 2.531 0.000 2.531
Ba 0.000 2.531 2.531
Al 3.796 3.796 3.796
Al 6.326 6.326 6.326
```

## Properties
E_form ... 57 kJ per mole of atoms

---

Below is a geometry-optimized PrHgBr3 structure, with properties calculated at the GGA-PBE level.

```
5
Lattice="5.847 0.000 0.000 0.000 5.847 0.000 0.000 0.000 5.847" Properties=species:S:1:pos:R:3 pbc="T T T"
Pr 0.000 0.000 0.000
Hg 2.924 2.924 2.924
Br 0.000 0.000 2.924
Br 0.000 2.924 0.000
Br 2.924 0.000 0.000
```

## Properties
Distance to the lowest polymorph of the same formula ... 73 meV/atom
Formation energy from raw total energies ... -7.01 eV per formula unit

---

Below is a geometry-optimized Li2CaDy2Pb2 structure, with properties calculated at the GGA-PBE level.

```
7
Lattice="2.435 1.406 9.182 -2.435 1.406 9.182 0.000 -2.811 9.182" Properties=species:S:1:pos:R:3 pbc="T T T"
Li 0.000 0.000 2.500
Li 0.000 0.000 25.046
Ca 0.000 0.000 13.773
Dy 0.000 0.000 10.194
Dy 0.000 0.000 17.353
Pb 0.000 0.000 6.668
Pb 0.000 0.000 20.878
```

## Properties
E_form ... -33 kJ per mole of atoms

---

Below is a geometry-optimized Dy3YTm4 structure, with properties calculated at the GGA-PBE level.

```
16
Lattice="11.137 0.000 0.000 0.000 7.203 0.000 0.000 0.000 6.229" Properties=species:S:1:pos:R:3 pbc="T T T"
Dy 0.000 0.914 0.000
Dy 2.785 0.913 2.084
Dy 2.783 6.290 5.199
Dy 5.568 6.289 3.115
Dy 8.352 0.913 2.084
Dy 8.354 6.290 5.199
Y 0.000 6.294 3.114
Y 5.568 0.910 6.229
Tm 0.000 2.713 3.112
Tm 0.000 4.491 0.004
Tm 2.776 2.715 5.186
Tm 2.792 4.489 2.071
Tm 5.568 2.713 3.119
Tm 5.568 4.490 6.227
Tm 8.345 4.489 2.071
Tm 8.360 2.715 5.186
```

## Properties
Distance to the lowest polymorph of the same formula ... 0 meV/atom
E_form ... 0 kJ per mole of atoms

---

Below is a geometry-optimized Rb2CuSnI6 structure, with properties calculated at the GGA-PBE level.

```
10
Lattice="-4.152 4.152 5.905 4.152 -4.152 5.905 4.152 4.152 -5.905" Properties=species:S:1:pos:R:3 pbc="T T T"
Rb 4.152 0.000 2.953
Rb 0.000 4.152 2.953
Cu 0.000 0.000 0.000
Sn 0.000 0.000 5.905
I 1.997 1.997 0.000
I 2.155 -2.155 5.905
I 0.000 0.000 2.854
I 0.000 0.000 8.956
I -2.155 2.155 5.905
I 2.155 2.155 5.905
```

## Properties
Formation energy from raw total energies ... -7.54 eV per formula unit

---

Below is a geometry-optimized Ac4P3S structure, with properties calculated at the GGA-PBE level.

```
16
Lattice="8.829 0.000 0.000 0.000 12.477 0.000 0.000 0.000 4.417" Properties=species:S:1:pos:R:3 pbc="T T T"
Ac 0.000 3.097 0.000
Ac 0.000 9.380 0.000
Ac 2.167 0.000 2.209
Ac 2.248 6.238 2.209
Ac 4.415 3.142 0.000
Ac 4.415 9.335 0.000
Ac 6.581 6.238 2.209
Ac 6.663 0.000 2.209
P 0.000 0.000 0.000
P 2.207 3.119 2.209
P 2.207 9.358 2.209
P 4.415 6.238 0.000
P 6.622 3.119 2.209
P 6.622 9.358 2.209
S 0.000 6.238 0.000
S 4.415 0.000 0.000
```

## Properties
Distance to the lowest polymorph of the same formula ... 0 meV/atom
Formation energy from raw total energies ... -13.27 eV per formula unit

---

Calculated volume / Å³ per atom: 17.54; 14.15; 43.21; 39.99; 26.94; 31.23; 40.73; 30.41